Record 1
Compound: Mg3NbGa
Source: Alexandria via LeMat-Bulk
Functional: PBE
Structure: optimized geometry

Size of the total moment, μB per formula unit: 0.000
Space-group type: Pm-3m (221)
Final energy, eV per cell: -13.85

Cell: 4.861 4.861 4.861 Å, 90.00 90.00 90.00°
Fractional coordinates of all 5 atoms:
Mg (0.000, 0.000, 0.500)
Mg (0.000, 0.500, 0.000)
Mg (0.500, 0.000, 0.000)
Nb (0.500, 0.500, 0.500)
Ga (0.000, 0.000, 0.000)

Record 2
Compound: BeCdSi2
Source: Alexandria via LeMat-Bulk
Functional: PBE
Structure: optimized geometry

Size of the total moment, μB per formula unit: 0.000
Space-group type: P4/mmm (123)
Formation energy from raw total energies, meV per atom: 455
Final energy, eV per cell: -13.67

Cell: 2.699 2.699 9.347 Å, 90.00 90.00 90.00°
Fractional coordinates of all 4 atoms:
Be (0.000, 0.000, 0.000)
Cd (0.000, 0.000, 0.500)
Si (0.500, 0.500, 0.167)
Si (0.500, 0.500, 0.833)

Record 3
Compound: ReIBrO2
Source: Alexandria via LeMat-Bulk
Functional: PBE
Structure: optimized geometry

Size of the total moment, μB per formula unit: 3.823
Space-group type: P4/mmm (123)
Formation energy from raw total energies, meV per atom: 1370
Final energy, eV per cell: -18.74

Cell: 3.951 3.951 7.071 Å, 90.00 90.00 90.00°
Fractional coordinates of all 5 atoms:
Re (0.000, 0.000, 0.000)
I (0.500, 0.500, 0.000)
Br (0.500, 0.500, 0.500)
O (0.000, 0.500, 0.500)
O (0.500, 0.000, 0.500)

Record 4
Compound: Sm2YErTm5
Source: Alexandria via LeMat-Bulk
Functional: PBE
Structure: optimized geometry

Size of the total moment, μB per formula unit: 0.004
Space-group type: I4/mcm (140)
Final energy, eV per cell: -80.61

Cell: 9.771 9.771 9.771 Å, 127.75 127.75 77.04°
Fractional coordinates of all 18 atoms:
Sm (0.116, 0.616, 0.733)
Sm (0.384, 0.116, 0.500)
Sm (0.616, 0.884, 0.500)
Sm (0.884, 0.384, 0.267)
Y (0.250, 0.250, 0.000)
Y (0.750, 0.750, 0.000)
Er (0.250, 0.750, 0.500)
Er (0.750, 0.250, 0.500)
Tm (0.000, 0.000, 0.000)
Tm (0.072, 0.151, 0.500)
Tm (0.151, 0.651, 0.079)
Tm (0.349, 0.428, 0.500)
Tm (0.428, 0.928, 0.079)
Tm (0.500, 0.500, 0.000)
Tm (0.572, 0.072, 0.921)
Tm (0.651, 0.572, 0.500)
Tm (0.849, 0.349, 0.921)
Tm (0.928, 0.849, 0.500)

Record 5
Compound: V8Ga3Ir2
Source: Alexandria via LeMat-Bulk
Functional: PBE
Structure: optimized geometry

Size of the total moment, μB per formula unit: 0.000
Space-group type: C2/m (12)
Final energy, eV per cell: -96.91

Cell: 7.922 7.922 5.537 Å, 105.73 105.73 39.62°
Fractional coordinates of all 13 atoms:
V (0.063, 0.641, 0.070)
V (0.143, 0.143, 0.379)
V (0.326, 0.326, 0.369)
V (0.359, 0.937, 0.930)
V (0.641, 0.063, 0.070)
V (0.674, 0.674, 0.631)
V (0.857, 0.857, 0.621)
V (0.937, 0.359, 0.930)
Ga (0.000, 0.000, 0.000)
Ga (0.257, 0.743, 0.500)
Ga (0.743, 0.257, 0.500)
Ir (0.277, 0.277, 0.747)
Ir (0.723, 0.723, 0.253)

Record 6
Compound: KW4Au
Source: Alexandria via LeMat-Bulk
Functional: PBE
Structure: optimized geometry

Size of the total moment, μB per formula unit: 0.000
Space-group type: F-43m (216)
Final energy, eV per cell: -49.12

Cell: 5.460 5.460 5.460 Å, 60.00 60.00 60.00°
Fractional coordinates of all 6 atoms:
K (0.000, 0.000, 0.000)
W (0.118, 0.627, 0.627)
W (0.627, 0.118, 0.627)
W (0.627, 0.627, 0.118)
W (0.627, 0.627, 0.627)
Au (0.250, 0.250, 0.250)

Record 7
Compound: HoLuGaCo
Source: Alexandria via LeMat-Bulk
Functional: PBE
Structure: optimized geometry

Size of the total moment, μB per formula unit: 0.869
Space-group type: F-43m (216)
Final energy, eV per cell: -20.65

Cell: 4.845 4.845 4.845 Å, 60.00 60.00 60.00°
Fractional coordinates of all 4 atoms:
Ho (0.000, 0.000, 0.000)
Lu (0.500, 0.500, 0.500)
Ga (0.250, 0.250, 0.250)
Co (0.750, 0.750, 0.750)

Record 8
Compound: Hg4SbPI2
Source: Alexandria via LeMat-Bulk
Functional: PBE
Structure: optimized geometry

Size of the total moment, μB per formula unit: 0.000
Space-group type: P1 (1)
Formation energy from raw total energies, meV per atom: -54
Final energy, eV per cell: -28.55

Cell: 8.646 9.206 9.225 Å, 60.25 70.66 67.03°
Fractional coordinates of all 16 atoms:
Hg (0.000, 0.000, 0.000)
Hg (0.003, 0.468, 0.531)
Hg (0.271, 0.335, 0.150)
Hg (0.414, 0.597, 0.276)
Hg (0.625, 0.312, 0.736)
Hg (0.673, 0.857, 0.342)
Hg (0.773, 0.801, 0.714)
Hg (0.792, 0.188, 0.314)
Sb (0.331, 0.286, 0.444)
Sb (0.887, 0.085, 0.616)
P (0.707, 0.613, 0.628)
P (0.712, 0.141, 0.102)
I (0.238, 0.399, 0.832)
I (0.264, 0.904, 0.342)
I (0.314, 0.825, 0.892)
I (0.780, 0.610, 0.121)

Record 9
Compound: CaNdIrAu
Source: Alexandria via LeMat-Bulk
Functional: PBE
Structure: optimized geometry

Size of the total moment, μB per formula unit: 0.000
Space-group type: F-43m (216)
Final energy, eV per cell: -21.31

Cell: 5.052 5.052 5.052 Å, 60.00 60.00 60.00°
Fractional coordinates of all 4 atoms:
Ca (0.000, 0.000, 0.000)
Nd (0.500, 0.500, 0.500)
Ir (0.250, 0.250, 0.250)
Au (0.750, 0.750, 0.750)

Record 10
Compound: TbDyCuPd
Source: Alexandria via LeMat-Bulk
Functional: PBE
Structure: optimized geometry

Size of the total moment, μB per formula unit: 0.000
Space-group type: F-43m (216)
Final energy, eV per cell: -20.76

Cell: 4.952 4.952 4.952 Å, 60.00 60.00 60.00°
Fractional coordinates of all 4 atoms:
Tb (0.000, 0.000, 0.000)
Dy (0.500, 0.500, 0.500)
Cu (0.250, 0.250, 0.250)
Pd (0.750, 0.750, 0.750)

Record 11
Compound: K2Li2Sn
Source: Alexandria via LeMat-Bulk
Functional: PBE
Structure: optimized geometry

Size of the total moment, μB per formula unit: 0.000
Space-group type: P4/mbm (127)
Final energy, eV per cell: -20.96

Cell: 7.594 7.594 5.933 Å, 90.00 90.00 90.00°
Fractional coordinates of all 10 atoms:
K (0.183, 0.317, 0.000)
K (0.317, 0.817, 0.000)
K (0.683, 0.183, 0.000)
K (0.817, 0.683, 0.000)
Li (0.186, 0.686, 0.500)
Li (0.314, 0.186, 0.500)
Li (0.686, 0.814, 0.500)
Li (0.814, 0.314, 0.500)
Sn (0.000, 0.000, 0.500)
Sn (0.500, 0.500, 0.500)

Record 12
Compound: TbPr2Rh3
Source: Alexandria via LeMat-Bulk
Functional: PBE
Structure: optimized geometry

Size of the total moment, μB per formula unit: 0.000
Space-group type: Immm (71)
Final energy, eV per cell: -39.33

Cell: 6.969 6.969 6.969 Å, 145.17 131.13 61.40°
Fractional coordinates of all 6 atoms:
Tb (0.000, 0.000, 0.000)
Pr (0.331, 0.331, 0.000)
Pr (0.669, 0.669, 0.000)
Rh (0.155, 0.655, 0.500)
Rh (0.500, 0.000, 0.500)
Rh (0.845, 0.345, 0.500)

Number 1: volume 115 Å³/cell. Number 2: volume 68 Å³/cell. Number 3: volume 110 Å³/cell. Number 4: volume 566 Å³/cell. Number 5: volume 212 Å³/cell. Number 6: volume 115 Å³/cell. Number 7: volume 80 Å³/cell. Number 8: volume 578 Å³/cell. Number 9: volume 91 Å³/cell. Number 10: volume 86 Å³/cell. Number 11: volume 342 Å³/cell. Number 12: volume 144 Å³/cell.